DFT (GGA-PBE) results for an optimized crystal structure of HfNbHPd2.

extended XYZ file:
```
5
Lattice="-4.1627 0.7687 2.4282 1.6211 -3.0544 3.7460 2.0196 3.8309 2.2496" Properties=species:S:1:pos:R:3 pbc="T T T"
Hf 0.0000 0.0000 0.0000
Pd -2.0814 0.3843 1.2141
Pd 1.0098 1.9154 1.1248
Nb 0.8106 -1.5272 1.8730
H -0.2610 0.7726 4.2119
```

Total magnetic moment, μB per formula unit: 1.73
Symmetry: P4/mmm, No. 123
Total DFT energy (no corrections), eV per cell: -25.71
N(E_F), states/eV/f.u.: 4.579

---

DFT (GGA-PBE) results for an optimized crystal structure of Hf2NbHPt.

extended XYZ file:
```
5
Lattice="-2.4916 -2.2645 -3.1237 2.4737 -3.7912 0.7752 -2.3675 -1.0090 2.6199" Properties=species:S:1:pos:R:3 pbc="T T T"
Hf 1.2369 -1.8956 0.3876
Hf -1.2458 -1.1322 -1.5619
H 0.0000 0.0000 0.0000
Pt -1.1927 -3.5324 0.1357
Nb -1.1837 -0.5045 1.3099
```

Total magnetic moment, μB per formula unit: 0.00
Symmetry: P4/mmm, No. 123
Total DFT energy (no corrections), eV per cell: -41.89
N(E_F), states/eV/f.u.: 3.303

---

DFT (GGA-PBE) results for an optimized crystal structure of RbHfNb2H.

extended XYZ file:
```
5
Lattice="5.6850 0.0000 0.0000 0.0000 3.4870 0.0000 0.0000 0.0000 5.6850" Properties=species:S:1:pos:R:3 pbc="T T T"
Nb 0.0000 0.0000 2.8425
Nb 2.8425 0.0000 0.0000
Rb 2.8425 1.7435 2.8425
Hf 0.0000 0.0000 0.0000
H 0.0000 1.7435 0.0000
```

Total magnetic moment, μB per formula unit: 2.83
Symmetry: P4/mmm, No. 123
Total DFT energy (no corrections), eV per cell: -26.44
N(E_F), states/eV/f.u.: 4.977

---

DFT (GGA-PBE) results for an optimized crystal structure of Hf2NbReH.

extended XYZ file:
```
5
Lattice="4.7111 0.0000 0.0000 0.0000 4.7111 0.0000 0.0000 0.0000 3.5056" Properties=species:S:1:pos:R:3 pbc="T T T"
Hf 0.0000 2.3555 0.0000
Hf 2.3555 0.0000 0.0000
Re 0.0000 0.0000 1.7528
Nb 2.3555 2.3555 1.7528
H 0.0000 0.0000 0.0000
```

Total magnetic moment, μB per formula unit: 0.00
Symmetry: P4/mmm, No. 123
Total DFT energy (no corrections), eV per cell: -46.23
N(E_F), states/eV/f.u.: 6.718

---

DFT (GGA-PBE) results for an optimized crystal structure of HfNbHRh2.

extended XYZ file:
```
5
Lattice="4.0718 0.0000 0.0000 0.0000 4.0718 0.0000 0.0000 0.0000 4.1176" Properties=species:S:1:pos:R:3 pbc="T T T"
H 0.0000 0.0000 0.0000
Hf 0.0000 0.0000 2.0588
Rh 2.0359 0.0000 0.0000
Rh 0.0000 2.0359 0.0000
Nb 2.0359 2.0359 2.0588
```

Total magnetic moment, μB per formula unit: 0.00
Symmetry: P4/mmm, No. 123
Total DFT energy (no corrections), eV per cell: -40.09
N(E_F), states/eV/f.u.: 4.016

---

DFT (GGA-PBE) results for an optimized crystal structure of HfNbHRh2.

extended XYZ file:
```
5
Lattice="4.0855 0.0000 0.0000 0.0000 4.0855 0.0000 0.0000 0.0000 4.0946" Properties=species:S:1:pos:R:3 pbc="T T T"
Hf 2.0428 2.0428 2.0473
Nb 0.0000 0.0000 2.0473
H 0.0000 0.0000 0.0000
Rh 2.0428 0.0000 0.0000
Rh 0.0000 2.0428 0.0000
```

Total magnetic moment, μB per formula unit: 0.00
Symmetry: P4/mmm, No. 123
Total DFT energy (no corrections), eV per cell: -40.21
N(E_F), states/eV/f.u.: 4.812

---

DFT (GGA-PBE) results for an optimized crystal structure of HfNb2HRh.

extended XYZ file:
```
5
Lattice="-0.0980 -1.1432 3.7656 3.9229 -0.3277 0.0027 0.3840 4.6081 1.4090" Properties=species:S:1:pos:R:3 pbc="T T T"
H 0.0000 0.0000 0.0000
Rh 2.1044 1.5686 2.5886
Hf 0.1920 2.3040 0.7045
Nb -0.0490 -0.5716 1.8828
Nb 1.9614 -0.1639 0.0013
```

Total magnetic moment, μB per formula unit: 0.00
Symmetry: P4/mmm, No. 123
Total DFT energy (no corrections), eV per cell: -42.03
N(E_F), states/eV/f.u.: 5.720

---

DFT (GGA-PBE) results for an optimized crystal structure of HfNb2HRh.

extended XYZ file:
```
5
Lattice="3.9299 0.0000 0.0000 0.0000 3.9299 0.0000 0.0000 0.0000 4.8495" Properties=species:S:1:pos:R:3 pbc="T T T"
Hf 1.9649 1.9649 2.4248
Nb 0.0000 1.9649 0.0000
Nb 1.9649 0.0000 0.0000
Rh 0.0000 0.0000 2.4248
H 0.0000 0.0000 0.0000
```

Total magnetic moment, μB per formula unit: 0.00
Symmetry: P4/mmm, No. 123
Total DFT energy (no corrections), eV per cell: -42.04
N(E_F), states/eV/f.u.: 4.344

---

DFT (GGA-PBE) results for an optimized crystal structure of HfNb2SbH.

extended XYZ file:
```
5
Lattice="4.2506 0.0000 0.0000 0.0000 4.2506 0.0000 0.0000 0.0000 4.4047" Properties=species:S:1:pos:R:3 pbc="T T T"
Nb 2.1253 0.0000 0.0000
Nb 0.0000 2.1253 0.0000
H 0.0000 0.0000 0.0000
Hf 0.0000 0.0000 2.2023
Sb 2.1253 2.1253 2.2023
```

Total magnetic moment, μB per formula unit: 0.00
Symmetry: P4/mmm, No. 123
Total DFT energy (no corrections), eV per cell: -38.86
N(E_F), states/eV/f.u.: 1.942

---

DFT (GGA-PBE) results for an optimized crystal structure of HfSc2NbH.

extended XYZ file:
```
5
Lattice="-1.1835 3.7218 -1.8526 -2.0838 -2.1978 -3.0842 -3.8679 0.0523 2.5760" Properties=species:S:1:pos:R:3 pbc="T T T"
Sc -0.5917 1.8609 -0.9263
Sc -1.0419 -1.0989 -1.5421
H 0.0000 0.0000 0.0000
Nb -1.9339 0.0261 1.2880
Hf -3.5676 0.7882 -1.1804
```

Total magnetic moment, μB per formula unit: 0.00
Symmetry: P4/mmm, No. 123
Total DFT energy (no corrections), eV per cell: -36.25
N(E_F), states/eV/f.u.: 5.566

---

DFT (GGA-PBE) results for an optimized crystal structure of HfSc2NbH.

extended XYZ file:
```
5
Lattice="-2.3656 -1.5595 -3.3176 -0.3406 -3.8378 2.0469 -3.8270 1.4352 2.0542" Properties=species:S:1:pos:R:3 pbc="T T T"
H 0.0000 0.0000 0.0000
Sc -0.1703 -1.9189 1.0234
Sc -1.1828 -0.7797 -1.6588
Nb -3.2666 -1.9810 0.3917
Hf -1.9135 0.7176 1.0271
```

Total magnetic moment, μB per formula unit: 0.00
Symmetry: P4/mmm, No. 123
Total DFT energy (no corrections), eV per cell: -36.30
N(E_F), states/eV/f.u.: 4.832

---

DFT (GGA-PBE) results for an optimized crystal structure of Hf2NbSnH.

extended XYZ file:
```
5
Lattice="-0.7952 -1.1830 -4.3631 -3.0178 -3.1595 1.4066 -2.9048 2.6860 -0.1989" Properties=species:S:1:pos:R:3 pbc="T T T"
Sn -3.3589 -0.8283 -1.5776
Hf -1.5089 -1.5798 0.7033
Hf -0.3976 -0.5915 -2.1815
H 0.0000 0.0000 0.0000
Nb -1.4524 1.3430 -0.0994
```

Total magnetic moment, μB per formula unit: 0.00
Symmetry: P4/mmm, No. 123
Total DFT energy (no corrections), eV per cell: -38.92
N(E_F), states/eV/f.u.: 1.283

---

DFT (GGA-PBE) results for an optimized crystal structure of HfNb2SnH.

extended XYZ file:
```
5
Lattice="4.2113 0.0000 0.0000 0.0000 4.2113 0.0000 0.0000 0.0000 4.5255" Properties=species:S:1:pos:R:3 pbc="T T T"
Nb 0.0000 2.1057 0.0000
Nb 2.1057 0.0000 0.0000
Sn 2.1057 2.1057 2.2628
H 0.0000 0.0000 0.0000
Hf 0.0000 0.0000 2.2628
```

Total magnetic moment, μB per formula unit: 0.00
Symmetry: P4/mmm, No. 123
Total DFT energy (no corrections), eV per cell: -38.69
N(E_F), states/eV/f.u.: 3.572

---

DFT (GGA-PBE) results for an optimized crystal structure of HfTa2NbH.

extended XYZ file:
```
5
Lattice="4.0437 0.0000 0.0000 0.0000 4.0437 0.0000 0.0000 0.0000 4.8623" Properties=species:S:1:pos:R:3 pbc="T T T"
Nb 0.0000 0.0000 2.4311
Ta 0.0000 2.0218 0.0000
Ta 2.0218 0.0000 0.0000
Hf 2.0218 2.0218 2.4311
H 0.0000 0.0000 0.0000
```

Total magnetic moment, μB per formula unit: 0.00
Symmetry: P4/mmm, No. 123
Total DFT energy (no corrections), eV per cell: -46.72
N(E_F), states/eV/f.u.: 5.251

---

DFT (GGA-PBE) results for an optimized crystal structure of Hf2TaNbH.

extended XYZ file:
```
5
Lattice="4.2321 0.0000 0.0000 0.0000 4.2321 0.0000 0.0000 0.0000 4.6284" Properties=species:S:1:pos:R:3 pbc="T T T"
Hf 2.1160 0.0000 0.0000
Hf 0.0000 2.1160 0.0000
H 0.0000 0.0000 0.0000
Nb 0.0000 0.0000 2.3142
Ta 2.1160 2.1160 2.3142
```

Total magnetic moment, μB per formula unit: 0.00
Symmetry: P4/mmm, No. 123
Total DFT energy (no corrections), eV per cell: -44.94
N(E_F), states/eV/f.u.: 5.192

---

DFT (GGA-PBE) results for an optimized crystal structure of HfTa2NbH.

extended XYZ file:
```
5
Lattice="-3.1573 1.8698 1.6646 -2.1044 -3.4334 -0.1349 1.6481 -1.1854 4.4574" Properties=species:S:1:pos:R:3 pbc="T T T"
Hf 0.8241 -0.5927 2.2287
Ta -1.0522 -1.7167 -0.0675
Ta -1.5786 0.9349 0.8323
Nb -1.8068 -1.3745 2.9936
H 0.0000 0.0000 0.0000
```

Total magnetic moment, μB per formula unit: 0.00
Symmetry: P4/mmm, No. 123
Total DFT energy (no corrections), eV per cell: -46.79
N(E_F), states/eV/f.u.: 4.974

---

DFT (GGA-PBE) results for an optimized crystal structure of Hf2TaNbH.

extended XYZ file:
```
5
Lattice="4.2299 0.0000 0.0000 0.0000 4.2299 0.0000 0.0000 0.0000 4.6334" Properties=species:S:1:pos:R:3 pbc="T T T"
Nb 2.1150 2.1150 2.3167
H 0.0000 0.0000 0.0000
Hf 2.1150 0.0000 0.0000
Hf 0.0000 2.1150 0.0000
Ta 0.0000 0.0000 2.3167
```

Total magnetic moment, μB per formula unit: 0.00
Symmetry: P4/mmm, No. 123
Total DFT energy (no corrections), eV per cell: -44.91
N(E_F), states/eV/f.u.: 4.960

---

DFT (GGA-PBE) results for an optimized crystal structure of HfTiNb2H.

extended XYZ file:
```
5
Lattice="4.0512 0.0000 0.0000 0.0000 4.0512 0.0000 0.0000 0.0000 4.7836" Properties=species:S:1:pos:R:3 pbc="T T T"
Nb 2.0256 0.0000 0.0000
Nb 0.0000 2.0256 0.0000
H 0.0000 0.0000 0.0000
Hf 2.0256 2.0256 2.3918
Ti 0.0000 0.0000 2.3918
```

Total magnetic moment, μB per formula unit: 0.69
Symmetry: P4/mmm, No. 123
Total DFT energy (no corrections), eV per cell: -41.33
N(E_F), states/eV/f.u.: 6.614

---

DFT (GGA-PBE) results for an optimized crystal structure of HfTiNb2H.

extended XYZ file:
```
5
Lattice="4.0438 0.0000 0.0000 0.0000 4.0438 0.0000 0.0000 0.0000 4.8155" Properties=species:S:1:pos:R:3 pbc="T T T"
H 0.0000 0.0000 0.0000
Nb 2.0219 0.0000 0.0000
Nb 0.0000 2.0219 0.0000
Ti 2.0219 2.0219 2.4077
Hf 0.0000 0.0000 2.4077
```

Total magnetic moment, μB per formula unit: 0.62
Symmetry: P4/mmm, No. 123
Total DFT energy (no corrections), eV per cell: -41.28
N(E_F), states/eV/f.u.: 6.478

---

DFT (GGA-PBE) results for an optimized crystal structure of HfTiNb2H8.

extended XYZ file:
```
12
Lattice="-2.2016 1.7882 3.5357 -3.9602 -0.8657 -2.0281 2.9538 -4.6105 1.2656" Properties=species:S:1:pos:R:3 pbc="T T T"
H 0.3746 -2.4053 2.9026
H -4.6706 -0.3690 1.6794
H -1.6639 -2.8510 1.8587
H -0.5630 -3.7451 0.0907
H -1.5571 -0.8566 0.8736
H -2.6904 0.0639 2.6935
H 1.4754 -3.2995 1.1347
H -3.5373 -1.2894 -0.1405
Nb -1.1644 -1.1805 2.7775
Nb 0.0000 0.0000 0.0000
Hf -3.0809 0.4613 0.7538
Ti -2.0437 -2.5075 -0.0044
```

Total magnetic moment, μB per formula unit: 0.00
Symmetry: I-4m2, No. 119
Total DFT energy (no corrections), eV per cell: -69.37
N(E_F), states/eV/f.u.: 3.966

---

DFT (GGA-PBE) results for an optimized crystal structure of Hf2NbTlH.

extended XYZ file:
```
5
Lattice="4.6072 0.0000 0.0000 0.0000 4.6072 0.0000 0.0000 0.0000 3.9881" Properties=species:S:1:pos:R:3 pbc="T T T"
Nb 0.0000 0.0000 1.9940
Hf 2.3036 0.0000 0.0000
Hf 0.0000 2.3036 0.0000
H 0.0000 0.0000 0.0000
Tl 2.3036 2.3036 1.9940
```

Total magnetic moment, μB per formula unit: 0.00
Symmetry: P4/mmm, No. 123
Total DFT energy (no corrections), eV per cell: -36.14
N(E_F), states/eV/f.u.: 3.988

---

DFT (GGA-PBE) results for an optimized crystal structure of HfNb2TlH.

extended XYZ file:
```
5
Lattice="4.1874 0.0000 0.0000 0.0000 4.1874 0.0000 0.0000 0.0000 4.6371" Properties=species:S:1:pos:R:3 pbc="T T T"
Nb 0.0000 2.0937 0.0000
Nb 2.0937 0.0000 0.0000
Tl 2.0937 2.0937 2.3186
H 0.0000 0.0000 0.0000
Hf 0.0000 0.0000 2.3186
```

Total magnetic moment, μB per formula unit: 0.00
Symmetry: P4/mmm, No. 123
Total DFT energy (no corrections), eV per cell: -35.94
N(E_F), states/eV/f.u.: 3.535

---

DFT (GGA-PBE) results for an optimized crystal structure of Hf2NbVH.

extended XYZ file:
```
5
Lattice="-0.7867 4.1960 1.9692 -2.0321 1.4829 -3.9717 -3.1351 -1.1407 1.1781" Properties=species:S:1:pos:R:3 pbc="T T T"
Nb -2.9769 2.2691 -0.4122
V -1.5675 -0.5704 0.5891
Hf -1.0160 0.7415 -1.9859
Hf -0.3934 2.0980 0.9846
H 0.0000 0.0000 0.0000
```

Total magnetic moment, μB per formula unit: 1.49
Symmetry: P4/mmm, No. 123
Total DFT energy (no corrections), eV per cell: -42.45
N(E_F), states/eV/f.u.: 6.680

---

DFT (GGA-PBE) results for an optimized crystal structure of Hf2NbZnH.

extended XYZ file:
```
5
Lattice="4.4614 0.0000 0.0000 0.0000 4.4614 0.0000 0.0000 0.0000 3.9054" Properties=species:S:1:pos:R:3 pbc="T T T"
Hf 2.2307 0.0000 0.0000
Hf 0.0000 2.2307 0.0000
H 0.0000 0.0000 0.0000
Zn 0.0000 0.0000 1.9527
Nb 2.2307 2.2307 1.9527
```

Total magnetic moment, μB per formula unit: 0.00
Symmetry: P4/mmm, No. 123
Total DFT energy (no corrections), eV per cell: -34.97
N(E_F), states/eV/f.u.: 5.374

---

DFT (GGA-PBE) results for an optimized crystal structure of Hf2NbZnH.

extended XYZ file:
```
5
Lattice="-2.9511 2.8933 -1.5324 -1.2882 -2.9228 -3.0376 -2.7543 -1.4511 2.5644" Properties=species:S:1:pos:R:3 pbc="T T T"
Zn -3.4968 -0.7403 -1.0028
Hf -0.6441 -1.4614 -1.5188
Hf -1.4756 1.4466 -0.7662
Nb -1.3772 -0.7256 1.2822
H 0.0000 0.0000 0.0000
```

Total magnetic moment, μB per formula unit: 0.00
Symmetry: P4/mmm, No. 123
Total DFT energy (no corrections), eV per cell: -35.38
N(E_F), states/eV/f.u.: 4.965

---

DFT (GGA-PBE) results for an optimized crystal structure of HfZrNb2H.

extended XYZ file:
```
5
Lattice="4.1198 0.0000 0.0000 0.0000 4.1198 0.0000 0.0000 0.0000 4.9268" Properties=species:S:1:pos:R:3 pbc="T T T"
Hf 2.0599 2.0599 2.4634
Nb 0.0000 2.0599 0.0000
Nb 2.0599 0.0000 0.0000
H 0.0000 0.0000 0.0000
Zr 0.0000 0.0000 2.4634
```

Total magnetic moment, μB per formula unit: 0.00
Symmetry: P4/mmm, No. 123
Total DFT energy (no corrections), eV per cell: -41.88
N(E_F), states/eV/f.u.: 7.204

---

DFT (GGA-PBE) results for an optimized crystal structure of Hf2ZrNbH.

extended XYZ file:
```
5
Lattice="4.6178 0.0000 0.0000 0.0000 4.6178 0.0000 0.0000 0.0000 4.1040" Properties=species:S:1:pos:R:3 pbc="T T T"
Zr 0.0000 0.0000 2.0520
Nb 2.3089 2.3089 2.0520
H 0.0000 0.0000 0.0000
Hf 0.0000 2.3089 0.0000
Hf 2.3089 0.0000 0.0000
```

Total magnetic moment, μB per formula unit: 0.00
Symmetry: P4/mmm, No. 123
Total DFT energy (no corrections), eV per cell: -41.89
N(E_F), states/eV/f.u.: 8.134

---

DFT (GGA-PBE) results for an optimized crystal structure of Hf2ZrNbH.

extended XYZ file:
```
5
Lattice="-0.2448 -3.3736 -2.7132 3.8325 1.4782 -2.1838 2.4458 -2.3501 2.7015" Properties=species:S:1:pos:R:3 pbc="T T T"
Hf 1.2229 -1.1750 1.3507
Hf -0.1224 -1.6868 -1.3566
Zr 3.0167 -2.1228 -1.0978
Nb 1.9162 0.7391 -1.0919
H 0.0000 0.0000 0.0000
```

Total magnetic moment, μB per formula unit: 0.00
Symmetry: P4/mmm, No. 123
Total DFT energy (no corrections), eV per cell: -41.88
N(E_F), states/eV/f.u.: 5.906

---

DFT (GGA-PBE) results for an optimized crystal structure of Hf2ZrNbH.

extended XYZ file:
```
5
Lattice="-1.0376 1.8335 -4.9676 -2.7916 -1.9095 -0.1216 -2.8686 4.0602 2.0978" Properties=species:S:1:pos:R:3 pbc="T T T"
Zr 0.0000 0.0000 0.0000
Hf -0.5188 0.9167 -2.4838
Hf -1.4343 2.0301 1.0489
H -1.3958 -0.9547 -0.0608
Nb -3.3489 1.9921 -1.4957
```

Total magnetic moment, μB per formula unit: 0.00
Symmetry: P4/mmm, No. 123
Total DFT energy (no corrections), eV per cell: -37.73
N(E_F), states/eV/f.u.: 6.707